Record 1
First-principles (PBE) data for a relaxed structure of Mg4Zn2Ga5, as listed in Alexandria.

## Properties
The calculation puts the energy at -25.240 eV per cell.

abc: 7.2983 3.0587 9.1265
angles: 90.00 93.70 90.00
With the nearest neighbours (Å) after each atom.
Fractional positions:
Mg1 0.1699 0.0000 0.3908  2 Zn 2.87, 8 Ga 2.92-3.07, 2 Mg 3.06
Mg2 0.2807 0.0000 0.9390  4 Zn 2.90-2.97, 6 Ga 2.96-2.98, 2 Mg 3.06
Mg3 0.7193 0.0000 0.0610  4 Zn 2.90-2.97, 6 Ga 2.96-2.98, 2 Mg 3.06
Mg4 0.8301 0.0000 0.6092  2 Zn 2.87, 8 Ga 2.92-3.07, 2 Mg 3.06
Zn1 0.0618 0.5000 0.1330  1 Zn 2.53, 2 Ga 2.68-2.72
Zn2 0.9382 0.5000 0.8670  1 Zn 2.53, 2 Ga 2.68-2.72
Ga1 0.1873 0.5000 0.6641  1 Zn 2.68, 2 Ga 2.81-2.98, 4 Mg 2.92-2.98
Ga2 0.4301 0.5000 0.2002  1 Zn 2.72, 2 Ga 2.75-2.98, 4 Mg 2.96-2.98
Ga3 0.5000 0.5000 0.5000  6 Ga 2.75-3.06, 4 Mg 2.97
Ga4 0.5699 0.5000 0.7998  1 Zn 2.72, 2 Ga 2.75-2.98, 4 Mg 2.96-2.98
Ga5 0.8127 0.5000 0.3359  1 Zn 2.68, 2 Ga 2.81-2.98, 4 Mg 2.92-2.98

***

Record 2
First-principles (PBE) data for a relaxed structure of UTcP2Ir2, as listed in Alexandria.

## Properties
The calculation puts the energy at -106.963 eV per cell.

abc: 3.8453 6.6952 7.4897
angles: 90.00 90.00 90.00
With the nearest neighbours (Å) after each atom.
Fractional positions:
U1 0.0000 0.1345 0.0000  3 P 2.65-2.96, 2 Tc 2.89, 2 Ir 2.89
U2 0.0000 0.8655 0.5000  3 P 2.65-2.96, 2 Tc 2.89, 2 Ir 2.89
Tc1 0.5000 0.1585 0.3789  4 P 2.36-2.41
Tc2 0.5000 0.8415 0.8789  4 P 2.36-2.41
P1 0.0000 0.3533 0.2942  4 Ir 2.32-2.50, 2 Tc 2.41
P2 0.0000 0.6467 0.7942  4 Ir 2.32-2.50, 2 Tc 2.41
P3 0.5000 0.1318 0.7000  2 Tc 2.36-2.41, 3 Ir 2.38-2.58
P4 0.5000 0.8682 0.2000  2 Tc 2.36-2.41, 3 Ir 2.38-2.58
Ir1 0.0000 0.3644 0.6038  4 P 2.32-2.58
Ir2 0.0000 0.6356 0.1038  4 P 2.32-2.58
Ir3 0.5000 0.4268 0.8766  3 P 2.38-2.50
Ir4 0.5000 0.5732 0.3766  3 P 2.38-2.50

***

Record 3
First-principles (PBE) data for a relaxed structure of PuGaOs2, as listed in Alexandria.

## Properties
The calculation puts the energy at -39.672 eV per cell.

abc: 4.2366 4.2366 3.7087
angles: 90.00 90.00 90.00
With the nearest neighbours (Å) after each atom.
Fractional positions:
Pu1 0.0000 0.0000 0.0000  8 Os 2.82, 4 Ga 3.00
Ga1 0.5000 0.5000 0.0000  8 Os 2.82, 4 Pu 3.00
Os1 0.0000 0.5000 0.5000  4 Pu 2.82, 4 Ga 2.82, 4 Os 3.00
Os2 0.5000 0.0000 0.5000  4 Pu 2.82, 4 Ga 2.82, 4 Os 3.00

***

Record 4
First-principles (PBE) data for a relaxed structure of TcAg2Ru, as listed in Alexandria.

## Properties
The calculation puts the energy at -22.915 eV per cell.

abc: 5.5143 5.5143 5.5143
angles: 150.15 127.99 61.13
With the nearest neighbours (Å) after each atom.
Fractional positions:
Tc1 0.0000 0.0000 0.0000  2 Ru 2.47
Ag1 0.2647 0.7647 0.5000  4 Ru 2.81, 4 Ag 2.84-2.87, 2 Tc 2.89
Ag2 0.5277 0.5277 0.0000  4 Tc 2.82, 4 Ag 2.84-2.87, 2 Ru 2.84
Ru1 0.7872 0.2872 0.5000  2 Tc 2.47

***

Record 5
First-principles (PBE) data for a relaxed structure of Ga6Ag8Hg, as listed in Alexandria.

## Properties
The calculation puts the energy at -40.433 eV per cell.

abc: 6.8435 6.8435 6.8435
angles: 74.57 74.57 74.57
With the nearest neighbours (Å) after each atom.
Fractional positions:
Ga1 0.0647 0.6688 0.8656  5 Ag 2.70-2.89, 3 Ga 2.73-2.84
Ga2 0.1344 0.9353 0.3312  5 Ag 2.70-2.89, 3 Ga 2.73-2.84
Ga3 0.3312 0.1344 0.9353  5 Ag 2.70-2.89, 3 Ga 2.73-2.84
Ga4 0.6688 0.8656 0.0647  5 Ag 2.70-2.89, 3 Ga 2.73-2.84
Ga5 0.8656 0.0647 0.6688  5 Ag 2.70-2.89, 3 Ga 2.73-2.84
Ga6 0.9353 0.3312 0.1344  5 Ag 2.70-2.89, 3 Ga 2.73-2.84
Ag1 0.0587 0.3593 0.6920  4 Ga 2.70-2.89, 5 Ag 2.85-2.98
Ag2 0.2944 0.2944 0.2944  6 Ag 2.85-2.90, 3 Ga 2.87, 1 Hg 3.02
Ag3 0.3080 0.9413 0.6407  4 Ga 2.70-2.89, 5 Ag 2.85-2.98
Ag4 0.3593 0.6920 0.0587  4 Ga 2.70-2.89, 5 Ag 2.85-2.98
Ag5 0.6407 0.3080 0.9413  4 Ga 2.70-2.89, 5 Ag 2.85-2.98
Ag6 0.6920 0.0587 0.3593  4 Ga 2.70-2.89, 5 Ag 2.85-2.98
Ag7 0.7056 0.7056 0.7056  6 Ag 2.85-2.90, 3 Ga 2.87, 1 Hg 3.02
Ag8 0.9413 0.6407 0.3080  4 Ga 2.70-2.89, 5 Ag 2.85-2.98
Hg1 0.5000 0.5000 0.5000  8 Ag 3.02-3.25

***

Record 6
First-principles (PBE) data for a relaxed structure of Dy5Y2Ho12, as listed in Alexandria.

## Properties
The calculation puts the energy at -90.469 eV per cell.

abc: 6.1211 9.3574 10.6006
angles: 101.01 95.56 90.08
With the nearest neighbours (Å) after each atom.
Fractional positions:
Dy1 0.0000 0.0000 0.0000  10 Ho 3.53, 2 Dy 3.54
Dy2 0.1581 0.6318 0.9474  10 Ho 3.52-3.54, 2 Dy 3.54
Dy3 0.2615 0.0531 0.5791  2 Dy 3.52-3.56, 8 Ho 3.52-3.55, 2 Y 3.54
Dy4 0.7385 0.9469 0.4209  2 Dy 3.52-3.56, 8 Ho 3.52-3.55, 2 Y 3.54
Dy5 0.8419 0.3682 0.0526  10 Ho 3.52-3.54, 2 Dy 3.54
Y1 0.4209 0.6846 0.5264  9 Ho 3.53-3.55, 2 Dy 3.54, 1 Y 3.54
Y2 0.5791 0.3154 0.4736  9 Ho 3.53-3.55, 2 Dy 3.54, 1 Y 3.54
Ho1 0.0530 0.2108 0.3153  4 Dy 3.53-3.54, 2 Y 3.53-3.54, 6 Ho 3.53-3.54
Ho2 0.1040 0.4212 0.6323  2 Dy 3.52-3.53, 3 Y 3.53-3.55, 7 Ho 3.53-3.54
Ho3 0.2113 0.8429 0.2627  6 Ho 3.53-3.54, 5 Dy 3.53, 1 Y 3.54
Ho4 0.3152 0.2631 0.8944  7 Ho 3.52-3.54, 5 Dy 3.52-3.54
Ho5 0.3685 0.4736 0.2093  7 Ho 3.52-3.54, 3 Dy 3.53, 2 Y 3.54-3.55
Ho6 0.4736 0.8950 0.8428  7 Ho 3.52-3.54, 4 Dy 3.53-3.55, 1 Y 3.53
Ho7 0.5264 0.1050 0.1572  7 Ho 3.52-3.54, 4 Dy 3.53-3.55, 1 Y 3.53
Ho8 0.6315 0.5264 0.7907  7 Ho 3.52-3.54, 3 Dy 3.53, 2 Y 3.54-3.55
Ho9 0.6848 0.7369 0.1056  7 Ho 3.52-3.54, 5 Dy 3.52-3.54
Ho10 0.7887 0.1571 0.7373  6 Ho 3.53-3.54, 5 Dy 3.53, 1 Y 3.54
Ho11 0.8960 0.5788 0.3677  2 Dy 3.52-3.53, 3 Y 3.53-3.55, 7 Ho 3.53-3.54
Ho12 0.9470 0.7892 0.6847  4 Dy 3.53-3.54, 2 Y 3.53-3.54, 6 Ho 3.53-3.54

***

Record 7
First-principles (PBE) data for a relaxed structure of Sm2InB3Pt12, as listed in Alexandria.

## Properties
The calculation puts the energy at -111.916 eV per cell.

abc: 7.4682 7.4682 7.4682
angles: 64.42 64.42 64.42
With the nearest neighbours (Å) after each atom.
Fractional positions:
Sm1 0.0997 0.0997 0.0997  6 Pt 2.92-3.05
Sm2 0.9003 0.9003 0.9003  6 Pt 2.92-3.05
In1 0.5000 0.5000 0.5000  6 Pt 2.58
B1 0.0000 0.5000 0.5000  6 Pt 2.15
B2 0.5000 0.0000 0.5000  6 Pt 2.15
B3 0.5000 0.5000 0.0000  6 Pt 2.15
Pt1 0.0996 0.6325 0.6325  1 B 2.15
Pt2 0.1769 0.1769 0.5899  2 B 2.15
Pt3 0.1769 0.5899 0.1769  2 B 2.15
Pt4 0.3675 0.3675 0.9004  1 B 2.15
Pt5 0.3675 0.9004 0.3675  1 B 2.15
Pt6 0.4101 0.8231 0.8231  2 B 2.15
Pt7 0.5899 0.1769 0.1769  2 B 2.15
Pt8 0.6325 0.0996 0.6325  1 B 2.15
Pt9 0.6325 0.6325 0.0996  1 B 2.15
Pt10 0.8231 0.4101 0.8231  2 B 2.15
Pt11 0.8231 0.8231 0.4101  2 B 2.15
Pt12 0.9004 0.3675 0.3675  1 B 2.15

***

Record 8
First-principles (PBE) data for a relaxed structure of KSr3As, as listed in Alexandria.

## Properties
The calculation puts the energy at -6.331 eV per cell.

abc: 6.3564 6.3564 6.3564
angles: 90.00 90.00 90.00
With the nearest neighbours (Å) after each atom.
Fractional positions:
K1 0.0000 0.0000 0.0000  6 Sr 3.18
Sr1 0.0000 0.0000 0.5000  2 K 3.18
Sr2 0.0000 0.5000 0.0000  2 K 3.18
Sr3 0.5000 0.0000 0.0000  2 K 3.18
As1 0.5000 0.5000 0.5000  12 Sr 4.49

***

Record 9
First-principles (PBE) data for a relaxed structure of Nd3Ag3RhO8, as listed in Alexandria.

## Properties
The calculation puts the energy at -94.577 eV per cell. The calculation puts the formation energy (no corrections) at -1647 meV per atom.

abc: 6.9193 6.9193 6.9193
angles: 61.26 61.26 61.26
With the nearest neighbours (Å) after each atom.
Fractional positions:
Nd1 0.0000 0.5000 0.5000  6 O 2.32-2.43
Nd2 0.5000 0.0000 0.5000  6 O 2.32-2.43
Nd3 0.5000 0.5000 0.0000  6 O 2.32-2.43
Ag1 0.0000 0.0000 0.5000  6 O 2.57-2.64
Ag2 0.0000 0.5000 0.0000  6 O 2.57-2.64
Ag3 0.5000 0.0000 0.0000  6 O 2.57-2.64
Rh1 0.0000 0.0000 0.0000  6 O 2.09
O1 0.2110 0.2110 0.7731  1 Rh 2.09
O2 0.2110 0.7731 0.2110  1 Rh 2.09
O3 0.2269 0.7890 0.7890  1 Rh 2.09
O4 0.2669 0.2669 0.2669  3 Nd 2.32
O5 0.7331 0.7331 0.7331  3 Nd 2.32
O6 0.7731 0.2110 0.2110  1 Rh 2.09
O7 0.7890 0.2269 0.7890  1 Rh 2.09
O8 0.7890 0.7890 0.2269  1 Rh 2.09

***

Record 10
First-principles (PBE) data for a relaxed structure of Pm5NdSmDy2, as listed in Alexandria.

## Properties
The calculation puts the energy at -82.247 eV per cell.

abc: 10.5699 10.5699 10.6728
angles: 90.00 90.00 148.67
With the nearest neighbours (Å) after each atom.
Fractional positions:
Pm1 0.0168 0.9832 0.5000  2 Nd 3.28, 3 Dy 3.46-3.66
Pm2 0.2806 0.7194 0.7881  1 Nd 3.09, 1 Dy 3.34, 2 Pm 3.45
Pm3 0.2972 0.7028 0.1828  3 Pm 3.45-3.70, 3 Sm 3.53-3.80, 3 Dy 3.57-3.77, 1 Nd 3.61
Pm4 0.3902 0.6098 0.5017  6 Pm 3.53-3.90, 4 Dy 3.59-3.62, 1 Sm 3.86
Pm5 0.4781 0.5219 0.2163  2 Nd 3.15-3.35, 1 Pm 3.53
Pm6 0.5219 0.4781 0.7163  2 Nd 3.15-3.35, 1 Pm 3.53
Pm7 0.6098 0.3902 0.0017  6 Pm 3.53-3.90, 4 Dy 3.59-3.62, 1 Sm 3.86
Pm8 0.7028 0.2972 0.6828  3 Pm 3.45-3.70, 3 Sm 3.53-3.80, 3 Dy 3.57-3.77, 1 Nd 3.61
Pm9 0.7194 0.2806 0.2881  1 Nd 3.09, 1 Dy 3.34, 2 Pm 3.45
Pm10 0.9832 0.0168 0.0000  2 Nd 3.28, 3 Dy 3.46-3.66
Nd1 0.4136 0.5864 0.9277  5 Pm 3.09-3.35
Nd2 0.5864 0.4136 0.4277  5 Pm 3.09-3.35
Sm1 0.2006 0.7994 0.4876  2 Dy 3.46-3.73, 8 Pm 3.53-3.86, 2 Nd 3.74
Sm2 0.7994 0.2006 0.9876  2 Dy 3.46-3.73, 8 Pm 3.53-3.86, 2 Nd 3.74
Dy1 0.1125 0.8875 0.2100  7 Pm 3.46-3.77, 1 Sm 3.46, 2 Nd 3.72
Dy2 0.1164 0.8836 0.7985  8 Pm 3.34-3.59, 1 Sm 3.73
Dy3 0.8836 0.1164 0.2985  8 Pm 3.34-3.59, 1 Sm 3.73
Dy4 0.8875 0.1125 0.7100  7 Pm 3.46-3.77, 1 Sm 3.46, 2 Nd 3.72

***

Record 11
First-principles (PBE) data for a relaxed structure of CuAs, as listed in Alexandria.

## Properties
The calculation puts the energy at -17.319 eV per cell.

abc: 3.8630 3.8630 5.0302
angles: 90.00 90.00 120.00
With the nearest neighbours (Å) after each atom.
Fractional positions:
Cu1 0.0000 0.0000 0.0000  2 Cu 2.52, 6 As 2.56
Cu2 0.0000 0.0000 0.5000  2 Cu 2.52, 6 As 2.56
As1 0.3333 0.6667 0.2500  6 Cu 2.56
As2 0.6667 0.3333 0.7500  6 Cu 2.56